No. 1
# AlCr3 (GGA-PBEsol, relaxed)
data_AlCr3
_cell_length_a 2.903
_cell_length_b 2.903
_cell_length_c 5.835
_cell_angle_alpha 90.00
_cell_angle_beta 90.00
_cell_angle_gamma 90.00
_symmetry_space_group_name_H-M 'P 4/m m m'
_symmetry_Int_Tables_number 123
_symmetry_space_group_name_Hall '-P 4 2'
loop_
_atom_site_label
_atom_site_fract_x
_atom_site_fract_y
_atom_site_fract_z
_atom_site_occupancy
Al1 0.000 0.000 0.000 1
Cr1 0.000 0.000 0.500 1
Cr2 0.500 0.500 0.270 1
# Formation energy from the elements: 0.0069 eV per atom


No. 2
# LaAl2Pt (GGA-PBEsol, relaxed)
data_LaAl2Pt
_cell_length_a 5.618
_cell_length_b 9.848
_cell_length_c 2.906
_cell_angle_alpha 90.00
_cell_angle_beta 90.00
_cell_angle_gamma 90.00
_symmetry_space_group_name_H-M 'C m m m'
_symmetry_Int_Tables_number 65
_symmetry_space_group_name_Hall '-C 2 2'
loop_
_atom_site_label
_atom_site_fract_x
_atom_site_fract_y
_atom_site_fract_z
_atom_site_occupancy
La1 0.000 0.000 0.000 1
Al1 0.250 0.250 0.500 1
Pt1 0.000 0.500 0.000 1
# Formation energy from the elements: -0.1629 eV per atom


No. 3
# U6Ta4Al43 (GGA-PBEsol, relaxed)
data_U6Ta4Al43
_cell_length_a 11.0332
_cell_length_b 11.0332
_cell_length_c 17.3595
_cell_angle_alpha 90.00
_cell_angle_beta 90.00
_cell_angle_gamma 120.00
_symmetry_space_group_name_H-M 'P 63/m c m'
_symmetry_Int_Tables_number 193
_symmetry_space_group_name_Hall '-P 6c 2'
loop_
_atom_site_label
_atom_site_fract_x
_atom_site_fract_y
_atom_site_fract_z
_atom_site_occupancy
U1 0.0000 0.4778 0.0871 1
Ta1 0.0000 0.0000 0.0000 1
Ta2 0.0000 0.2754 0.2500 1
Al1 0.0000 0.1489 0.7500 1
Al2 0.0000 0.1606 0.1149 1
Al3 0.0000 0.2556 0.5296 1
Al4 0.1450 0.5554 0.2500 1
Al5 0.1613 0.3965 0.6613 1
Al6 0.2469 0.4939 0.0000 1
Al7 0.3333 0.6667 0.1268 1
# Formation energy from the elements: -0.1391 eV per atom


No. 4
# TaTc2As (GGA-PBEsol, relaxed)
data_TaTc2As
_cell_length_a 2.990
_cell_length_b 3.995
_cell_length_c 5.104
_cell_angle_alpha 90.00
_cell_angle_beta 90.00
_cell_angle_gamma 90.00
_symmetry_space_group_name_H-M 'P m m m'
_symmetry_Int_Tables_number 47
loop_
_symmetry_equiv_pos_as_xyz
'x,y,z'
'-x,-y,-z'
'-x,-y,z'
'x,y,-z'
'x,-y,-z'
'-x,y,z'
'-x,y,-z'
'x,-y,z'
loop_
_atom_site_label
_atom_site_fract_x
_atom_site_fract_y
_atom_site_fract_z
_atom_site_occupancy
Ta1 0.000 0.000 0.000 1
Tc1 0.500 0.500 0.261 1
As1 0.000 0.000 0.500 1
# Formation energy from the elements: -0.0080 eV per atom


No. 5
# NpCo2Ge2 (GGA-PBEsol, relaxed)
data_NpCo2Ge2
_cell_length_a 3.883
_cell_length_b 3.883
_cell_length_c 10.022
_cell_angle_alpha 90.00
_cell_angle_beta 90.00
_cell_angle_gamma 90.00
_symmetry_space_group_name_H-M 'I 4/m m m'
_symmetry_Int_Tables_number 139
_symmetry_space_group_name_Hall '-I 4 2'
loop_
_atom_site_label
_atom_site_fract_x
_atom_site_fract_y
_atom_site_fract_z
_atom_site_occupancy
Np1 0.000 0.000 0.000 1
Co1 0.000 0.500 0.250 1
Ge1 0.000 0.000 0.374 1
# Formation energy from the elements: -0.2419 eV per atom


No. 6
# ZnCuRu2 (GGA-PBEsol, relaxed)
data_ZnCuRu2
_cell_length_a 8.591
_cell_length_b 2.702
_cell_length_c 4.530
_cell_angle_alpha 90.00
_cell_angle_beta 99.51
_cell_angle_gamma 90.00
_symmetry_space_group_name_H-M 'C 1 m 1'
_symmetry_Int_Tables_number 8
loop_
_symmetry_equiv_pos_as_xyz
'x,y,z'
'x,-y,z'
'x+1/2,y+1/2,z'
'x+1/2,-y+1/2,z'
loop_
_atom_site_label
_atom_site_fract_x
_atom_site_fract_y
_atom_site_fract_z
_atom_site_occupancy
Zn1 0.000 0.000 0.000 1
Cu1 0.250 0.000 0.799 1
Ru1 0.000 0.500 0.501 1
Ru2 0.254 0.500 0.304 1
# Formation energy from the elements: 0.1243 eV per atom


No. 7
# GaBrF2 (GGA-PBEsol, relaxed)
data_GaBrF2
_cell_length_a 3.2402
_cell_length_b 3.2402
_cell_length_c 26.0405
_cell_angle_alpha 90.00
_cell_angle_beta 90.00
_cell_angle_gamma 120.00
_symmetry_space_group_name_H-M 'R -3 m'
_symmetry_Int_Tables_number 166
_symmetry_space_group_name_Hall '-R 3 2"'
loop_
_atom_site_label
_atom_site_fract_x
_atom_site_fract_y
_atom_site_fract_z
_atom_site_occupancy
Ga1 0.0000 0.0000 0.0000 1
Br1 0.0000 0.0000 0.5000 1
F1 0.0000 0.0000 0.3702 1
# ΔE_f (raw): -1307 meV per atom


No. 8
# BeRe2Mo (GGA-PBEsol, relaxed)
data_BeRe2Mo
_cell_length_a 2.630
_cell_length_b 4.226
_cell_length_c 5.011
_cell_angle_alpha 90.00
_cell_angle_beta 99.45
_cell_angle_gamma 90.00
_symmetry_space_group_name_H-M 'P 1 2/m 1'
_symmetry_Int_Tables_number 10
loop_
_symmetry_equiv_pos_as_xyz
'x,y,z'
'-x,-y,-z'
'-x,y,-z'
'x,-y,z'
loop_
_atom_site_label
_atom_site_fract_x
_atom_site_fract_y
_atom_site_fract_z
_atom_site_occupancy
Be1 0.000 0.000 0.000 1
Re1 0.260 0.500 0.763 1
Mo1 0.500 0.000 0.500 1
# Formation energy from the elements: 0.1396 eV per atom


Number 1: volume 12.29 Å³/atom, magnetization 2.65 μB/f.u.. Number 2: volume 20.10 Å³/atom, magnetization 0.00 μB/f.u.. Number 3: volume 17.27 Å³/atom, magnetization 13.93 μB/f.u.. Number 4: volume 15.24 Å³/atom, magnetization 0.00 μB/f.u.. Number 5: volume 15.11 Å³/atom, magnetization 4.01 μB/f.u.. Number 6: volume 12.96 Å³/atom, magnetization 0.00 μB/f.u.. Number 7: volume 19.73 Å³/atom, magnetization 0.00 μB/f.u.. Number 8: volume 13.73 Å³/atom, magnetization 0.00 μB/f.u..